Entry 1:
Below is a geometry-optimized TbPaMnOs structure, with properties calculated at the PBE level.

density: 13.116 g cm⁻³
formation enthalpy at 0 K: 0.15 kJ per mole of atoms
DOS at the Fermi energy: 18.31 states/eV per cell
volume: 20.1 A^3/atom

Cell: 6.852 6.852 6.852 Å, 90.00 90.00 90.00°
Space group F-43m (No. 216)
One atom of each set of equivalent atoms:
1 Tb 0.000 0.000 0.000 (multiplicity 4)
2 Pa 0.000 0.000 0.500 (multiplicity 4)
3 Mn 0.250 0.250 0.250 (multiplicity 4)
4 Os 0.250 0.250 0.750 (multiplicity 4)

---

Entry 2:
Below is a geometry-optimized Ac2HoCu structure, with properties calculated at the PBE level.

density: 8.623 g cm⁻³
formation enthalpy at 0 K: 0.61 kJ per mole of atoms
DOS at the Fermi energy: 6.03 states/eV per cell
energy relative to the lowest polymorph listed for this composition: 0.0 kJ/mol of atoms
volume: 32.9 A^3/atom

Cell: 3.835 3.835 8.938 Å, 90.00 90.00 90.00°
Space group P4/mmm (No. 123)
One atom of each set of equivalent atoms:
1 Ac 0.000 0.000 0.208 (multiplicity 2)
2 Ho 0.500 0.500 0.500 (multiplicity 1)
3 Cu 0.500 0.500 0.000 (multiplicity 1)

---

Entry 3:
Below is a geometry-optimized La2SbTe structure, with properties calculated at the PBE level.

density: 7.083 g cm⁻³
DOS at the Fermi energy: 3.28 states/eV per cell
energy relative to the lowest polymorph listed for this composition: 21.1 kJ/mol of atoms
volume: 30.9 A^3/atom

Cell: 3.948 3.951 7.923 Å, 90.00 90.13 90.00°
Space group P2/m (No. 10)
One atom of each set of equivalent atoms:
1 La 0.002 0.000 0.259 (multiplicity 2)
2 Sb 0.500 0.500 0.500 (multiplicity 1)
3 Te 0.500 0.500 0.000 (multiplicity 1)

---

Entry 4:
Below is a geometry-optimized TmOs2W structure, with properties calculated at the PBE level.

density: 17.590 g cm⁻³
formation enthalpy at 0 K: -3.44 kJ per mole of atoms
DOS at the Fermi energy: 4.00 states/eV per cell
volume: 17.3 A^3/atom

Cell: 3.095 3.095 7.226 Å, 90.00 90.00 90.00°
Space group P4/mmm (No. 123)
One atom of each set of equivalent atoms:
1 Tm 0.000 0.000 0.000 (multiplicity 1)
2 Os 0.500 0.500 0.285 (multiplicity 2)
3 W 0.000 0.000 0.500 (multiplicity 1)

---

Entry 5:
Below is a geometry-optimized Ce5SbC structure, with properties calculated at the PBE level.

density: 8.178 g cm⁻³
E: -6.42 eV/atom
DOS at the Fermi energy: 71.26 states/eV per cell
volume: 24.2 A^3/atom

Cell: 11.150 6.533 10.415 Å, 90.00 116.71 90.00°
Space group C2/c (No. 15)
One atom of each set of equivalent atoms:
1 Ce 0.000 0.021 0.250 (multiplicity 4)
2 Ce 0.147 0.300 0.075 (multiplicity 8)
3 Ce 0.194 0.230 0.631 (multiplicity 8)
4 Sb 0.000 0.484 0.750 (multiplicity 4)
5 C 0.000 0.000 0.000 (multiplicity 4)

---

Entry 6:
Below is a geometry-optimized TaReRh structure, with properties calculated at the PBE level.

density: 14.160 g cm⁻³
formation enthalpy at 0 K: 55.11 kJ per mole of atoms
DOS at the Fermi energy: 16.71 states/eV per cell
energy relative to the lowest polymorph listed for this composition: 74.5 kJ/mol of atoms
volume: 18.4 A^3/atom

Cell: 6.041 6.041 6.041 Å, 90.00 90.00 90.00°
Space group F-43m (No. 216)
One atom of each set of equivalent atoms:
1 Ta 0.000 0.000 0.000 (multiplicity 4)
2 Re 0.000 0.000 0.500 (multiplicity 4)
3 Rh 0.250 0.250 0.750 (multiplicity 4)

---

Which of these has the highest DOS at the Fermi energy?
Ce5SbC

---

Among the records above, which one has the highest DOS at the Fermi energy?
Ce5SbC

---

Which of these has the highest DOS at the Fermi energy?
Ce5SbC